[1]
BaSrCa2 | PBEsol | relaxed

Cell lengths 4.6301, 4.6301, 8.8415 Å; angles 90.00, 90.00, 90.00 degrees
Atoms (fractional coordinates):
Ca1 0.5000 0.5000 0.2369
Ba1 0.5000 0.5000 0.7635
Ca2 0.0000 0.0000 0.0200
Sr1 0.0000 0.0000 0.4796

Polymorph energy (0 for the lowest one): 0.001 eV/atom
Calculated formation energy: 19 meV per atom
Space-group type: P4mm

[2]
BaSrCa2 | PBEsol | relaxed

Cell lengths 4.0590, 7.0463, 7.0538 Å; angles 99.64, 90.00, 106.74 degrees
Atoms (fractional coordinates):
Ca1 0.9950 0.9900 0.9958
Ca2 0.2538 0.5076 0.7510
Sr1 0.5043 0.0086 0.5118
Ba1 0.7469 0.4938 0.2413

Polymorph energy (0 for the lowest one): 0.008 eV/atom
Calculated formation energy: 26 meV per atom
Space-group type: Cm

[3]
BaSrCa2 | PBEsol | relaxed

Cell lengths 4.0465, 4.0465, 13.4852 Å; angles 81.37, 81.37, 60.00 degrees
Atoms (fractional coordinates):
Ca1 0.2487 0.2487 0.2540
Ca2 0.7513 0.7513 0.7460
Ba1 0.0000 0.0000 0.0000
Sr1 0.5000 0.5000 0.5000

Polymorph energy (0 for the lowest one): 0.013 eV/atom
Calculated formation energy: 31 meV per atom
Space-group type: R-3m

[4]
BaSrCa2 | PBEsol | relaxed

Cell lengths 4.6791, 6.3457, 7.4370 Å; angles 115.25, 108.34, 90.00 degrees
Atoms (fractional coordinates):
Ca1 0.2470 0.2470 0.4941
Ba1 0.0000 0.5000 0.0000
Ca2 0.7530 0.7530 0.5059
Sr1 0.5000 0.0000 0.0000

Polymorph energy (0 for the lowest one): 0.012 eV/atom
Calculated formation energy: 30 meV per atom
Space-group type: Immm